{"formula": "PaTaNb", "functional": "PBE", "state": "relaxed", "e_above_lowest_polymorph_ev_per_atom": 0.309, "formation_energy_ev_per_atom": 0.393, "n_ef_per_ev_fu": 4.08, "lattice": [[5.577, 0.000, 0.000], [0.000, 2.902, 0.000], [0.000, 0.000, 7.758]], "species": ["Pa", "Pa", "Ta", "Ta", "Nb", "Nb"], "fractional_positions": [[0.000, 0.000, 0.000], [0.500, 0.000, 0.000], [0.250, 0.500, 0.344], [0.750, 0.500, 0.656], [0.250, 0.000, 0.651], [0.750, 0.000, 0.349]]}


{"formula": "PaTaNb2", "functional": "PBE", "state": "relaxed", "e_above_lowest_polymorph_ev_per_atom": 0.308, "formation_energy_ev_per_atom": 0.310, "n_ef_per_ev_fu": 5.88, "lattice": [[1.599, 0.923, 9.216], [-1.599, 0.923, 9.216], [0.000, -1.847, 9.216]], "species": ["Pa", "Ta", "Nb", "Nb"], "fractional_positions": [[0.000, 0.000, 0.000], [0.500, 0.500, 0.500], [0.243, 0.243, 0.243], [0.757, 0.757, 0.757]]}


{"formula": "PaTa2Nb", "functional": "PBE", "state": "relaxed", "e_above_lowest_polymorph_ev_per_atom": 0.000, "formation_energy_ev_per_atom": 0.106, "n_ef_per_ev_fu": 5.44, "lattice": [[0.000, 3.407, 3.407], [3.407, 0.000, 3.407], [3.407, 3.407, 0.000]], "species": ["Pa", "Ta", "Ta", "Nb"], "fractional_positions": [[0.000, 0.000, 0.000], [0.250, 0.250, 0.250], [0.750, 0.750, 0.750], [0.500, 0.500, 0.500]]}


{"formula": "PaTaNb", "functional": "PBE", "state": "relaxed", "e_above_lowest_polymorph_ev_per_atom": 0.000, "formation_energy_ev_per_atom": 0.084, "n_ef_per_ev_fu": 3.84, "lattice": [[4.756, 0.000, 0.000], [-2.378, 4.119, 0.000], [0.000, 0.000, 3.089]], "species": ["Pa", "Ta", "Nb"], "fractional_positions": [[0.000, 0.000, 0.000], [0.667, 0.333, 0.358], [0.333, 0.667, 0.716]]}


{"formula": "PaTaNbTc", "functional": "PBE", "state": "relaxed", "formation_energy_ev_per_atom": -0.124, "n_ef_per_ev_fu": 4.00, "lattice": [[0.000, 3.351, 3.351], [3.351, 0.000, 3.351], [3.351, 3.351, 0.000]], "species": ["Pa", "Ta", "Nb", "Tc"], "fractional_positions": [[0.000, 0.000, 0.000], [0.500, 0.500, 0.500], [0.750, 0.750, 0.750], [0.250, 0.250, 0.250]]}


{"formula": "UPaTaNb", "functional": "PBE", "state": "relaxed", "formation_energy_ev_per_atom": 0.171, "n_ef_per_ev_fu": 6.93, "lattice": [[0.000, 3.450, 3.450], [3.450, 0.000, 3.450], [3.450, 3.450, 0.000]], "species": ["U", "Pa", "Ta", "Nb"], "fractional_positions": [[0.000, 0.000, 0.000], [0.750, 0.750, 0.750], [0.250, 0.250, 0.250], [0.500, 0.500, 0.500]]}


{"formula": "PaTaNbW", "functional": "PBE", "state": "relaxed", "formation_energy_ev_per_atom": 0.068, "n_ef_per_ev_fu": 3.48, "lattice": [[0.000, 3.370, 3.370], [3.370, 0.000, 3.370], [3.370, 3.370, 0.000]], "species": ["Pa", "Ta", "Nb", "W"], "fractional_positions": [[0.000, 0.000, 0.000], [0.500, 0.500, 0.500], [0.250, 0.250, 0.250], [0.750, 0.750, 0.750]]}


{"formula": "ZrPaTaNb", "functional": "PBE", "state": "relaxed", "formation_energy_ev_per_atom": 0.098, "n_ef_per_ev_fu": 4.84, "lattice": [[0.000, 3.476, 3.476], [3.476, 0.000, 3.476], [3.476, 3.476, 0.000]], "species": ["Zr", "Pa", "Ta", "Nb"], "fractional_positions": [[0.000, 0.000, 0.000], [0.500, 0.500, 0.500], [0.250, 0.250, 0.250], [0.750, 0.750, 0.750]]}


{"formula": "TbPaNb", "functional": "PBE", "state": "relaxed", "formation_energy_ev_per_atom": 0.209, "n_ef_per_ev_fu": 3.58, "lattice": [[-1.726, 1.726, 13.245], [1.726, -1.726, 13.245], [1.726, 1.726, -13.245]], "species": ["Tb", "Tb", "Pa", "Pa", "Nb", "Nb"], "fractional_positions": [[0.068, 0.068, 0.000], [0.932, 0.932, 0.000], [0.346, 0.346, 0.000], [0.654, 0.654, 0.000], [0.219, 0.219, 0.000], [0.781, 0.781, 0.000]]}


{"formula": "Tb2PaNb", "functional": "PBE", "state": "relaxed", "formation_energy_ev_per_atom": 0.542, "n_ef_per_ev_fu": 6.22, "lattice": [[1.617, 0.933, 11.497], [-1.617, 0.933, 11.497], [0.000, -1.867, 11.497]], "species": ["Tb", "Tb", "Pa", "Nb"], "fractional_positions": [[0.085, 0.085, 0.085], [0.915, 0.915, 0.915], [0.500, 0.500, 0.500], [0.000, 0.000, 0.000]]}


{"formula": "PaNbTc", "functional": "PBE", "state": "relaxed", "e_above_lowest_polymorph_ev_per_atom": 0.163, "formation_energy_ev_per_atom": 0.140, "n_ef_per_ev_fu": 4.72, "lattice": [[-1.889, 1.889, 4.167], [1.889, -1.889, 4.167], [1.889, 1.889, -4.167]], "species": ["Pa", "Nb", "Tc"], "fractional_positions": [[0.000, 0.000, 0.000], [0.686, 0.686, 0.000], [0.308, 0.308, 0.000]]}


{"formula": "PaNbTc4", "functional": "PBE", "state": "relaxed", "formation_energy_ev_per_atom": -0.013, "n_ef_per_ev_fu": 7.97, "lattice": [[0.000, 3.745, 3.745], [3.745, 0.000, 3.745], [3.745, 3.745, 0.000]], "species": ["Pa", "Nb", "Tc", "Tc", "Tc", "Tc"], "fractional_positions": [[0.000, 0.000, 0.000], [0.250, 0.250, 0.250], [0.127, 0.624, 0.624], [0.624, 0.127, 0.624], [0.624, 0.624, 0.127], [0.624, 0.624, 0.624]]}


{"formula": "PaNbTc", "functional": "PBE", "state": "relaxed", "e_above_lowest_polymorph_ev_per_atom": 0.000, "formation_energy_ev_per_atom": -0.023, "n_ef_per_ev_fu": 3.09, "lattice": [[4.614, 0.000, 0.000], [-2.307, 3.996, 0.000], [0.000, 0.000, 3.038]], "species": ["Pa", "Nb", "Tc"], "fractional_positions": [[0.000, 0.000, 0.000], [0.333, 0.667, 0.702], [0.667, 0.333, 0.294]]}


{"formula": "PaNbTc", "functional": "PBE", "state": "relaxed", "e_above_lowest_polymorph_ev_per_atom": 0.365, "formation_energy_ev_per_atom": 0.342, "n_ef_per_ev_fu": 3.54, "lattice": [[5.477, 0.000, 0.000], [0.000, 2.979, 0.000], [0.000, 0.000, 7.234]], "species": ["Pa", "Pa", "Nb", "Nb", "Tc", "Tc"], "fractional_positions": [[0.000, 0.000, 0.000], [0.500, 0.000, 0.000], [0.250, 0.000, 0.375], [0.750, 0.000, 0.625], [0.250, 0.500, 0.660], [0.750, 0.500, 0.340]]}


{"formula": "PaTiNbTc", "functional": "PBE", "state": "relaxed", "formation_energy_ev_per_atom": -0.192, "n_ef_per_ev_fu": 4.86, "lattice": [[0.000, 3.316, 3.316], [3.316, 0.000, 3.316], [3.316, 3.316, 0.000]], "species": ["Pa", "Ti", "Nb", "Tc"], "fractional_positions": [[0.000, 0.000, 0.000], [0.500, 0.500, 0.500], [0.750, 0.750, 0.750], [0.250, 0.250, 0.250]]}


{"formula": "TmPaNbTc", "functional": "PBE", "state": "relaxed", "formation_energy_ev_per_atom": 0.048, "n_ef_per_ev_fu": 5.26, "lattice": [[0.000, 3.457, 3.457], [3.457, 0.000, 3.457], [3.457, 3.457, 0.000]], "species": ["Tm", "Pa", "Nb", "Tc"], "fractional_positions": [[0.000, 0.000, 0.000], [0.500, 0.500, 0.500], [0.750, 0.750, 0.750], [0.250, 0.250, 0.250]]}


{"formula": "UPaNbTc", "functional": "PBE", "state": "relaxed", "formation_energy_ev_per_atom": 0.078, "n_ef_per_ev_fu": 8.13, "lattice": [[0.000, 3.383, 3.383], [3.383, 0.000, 3.383], [3.383, 3.383, 0.000]], "species": ["U", "Pa", "Nb", "Tc"], "fractional_positions": [[0.000, 0.000, 0.000], [0.250, 0.250, 0.250], [0.750, 0.750, 0.750], [0.500, 0.500, 0.500]]}


{"formula": "PaNbVTc", "functional": "PBE", "state": "relaxed", "formation_energy_ev_per_atom": -0.061, "n_ef_per_ev_fu": 5.17, "lattice": [[0.000, 3.287, 3.287], [3.287, 0.000, 3.287], [3.287, 3.287, 0.000]], "species": ["Pa", "Nb", "V", "Tc"], "fractional_positions": [[0.000, 0.000, 0.000], [0.500, 0.500, 0.500], [0.750, 0.750, 0.750], [0.250, 0.250, 0.250]]}


{"formula": "PaNbTcW", "functional": "PBE", "state": "relaxed", "formation_energy_ev_per_atom": -0.012, "n_ef_per_ev_fu": 3.06, "lattice": [[0.000, 3.329, 3.329], [3.329, 0.000, 3.329], [3.329, 3.329, 0.000]], "species": ["Pa", "Nb", "Tc", "W"], "fractional_positions": [[0.000, 0.000, 0.000], [0.500, 0.500, 0.500], [0.250, 0.250, 0.250], [0.750, 0.750, 0.750]]}


{"formula": "PaNbZnTc", "functional": "PBE", "state": "relaxed", "formation_energy_ev_per_atom": -0.006, "n_ef_per_ev_fu": 4.44, "lattice": [[0.000, 3.284, 3.284], [3.284, 0.000, 3.284], [3.284, 3.284, 0.000]], "species": ["Pa", "Nb", "Zn", "Tc"], "fractional_positions": [[0.000, 0.000, 0.000], [0.250, 0.250, 0.250], [0.500, 0.500, 0.500], [0.750, 0.750, 0.750]]}